# 1
A relaxed structure of Pm4Dy6Tm19. Source: Alexandria via LeMat-Bulk, functional PBE.

## Properties
Calculated total energy in eV/cell: -120.13
Energy of formation in eV per atom: 0.39

Lattice parameters (Å, degrees): 10.7034 10.7032 10.7033 109.47 109.47 109.47
Atoms (fractional coordinates):
Tm1 0.3253 0.7873 0.9864
Tm2 0.3389 0.0136 0.8009
Tm3 0.6747 0.6611 0.4620
Tm4 0.7873 0.9864 0.3253
Tm5 0.5380 0.1991 0.2127
Tm6 0.8009 0.3389 0.0136
Tm7 0.0000 0.7384 0.7384
Tm8 0.2127 0.5380 0.1991
Tm9 0.6611 0.4620 0.6747
Tm10 0.7384 0.0000 0.7384
Tm11 0.2616 0.0000 0.2616
Tm12 0.1991 0.2127 0.5380
Tm13 0.0000 0.0000 0.0000
Tm14 0.0136 0.8009 0.3389
Tm15 0.7384 0.7384 0.0000
Tm16 0.2616 0.2616 0.0000
Tm17 0.4620 0.6747 0.6611
Tm18 0.9864 0.3253 0.7873
Tm19 0.0000 0.2616 0.2616
Pm1 0.3584 0.3584 0.3584
Pm2 0.0000 0.0000 0.6416
Pm3 0.0000 0.6416 0.0000
Pm4 0.6416 0.0000 0.0000
Dy1 0.6279 0.5000 0.1279
Dy2 0.1279 0.6279 0.5000
Dy3 0.3721 0.5000 0.8721
Dy4 0.5000 0.8721 0.3721
Dy5 0.8721 0.3721 0.5000
Dy6 0.5000 0.1279 0.6279

=====

# 2
A relaxed structure of Pm3Dy2Tm2. Source: Alexandria via LeMat-Bulk, functional PBE.

## Properties
Calculated total energy in eV/cell: -32.27
Energy of formation in eV per atom: 0.02

Lattice parameters (Å, degrees): 5.0486 6.1729 8.0094 97.51 90.00 114.14
Atoms (fractional coordinates):
Tm1 0.0717 0.1435 0.7148
Tm2 0.9283 0.8565 0.2852
Pm1 0.3578 0.7156 0.5717
Pm2 0.6422 0.2844 0.4283
Pm3 0.5000 0.0000 0.0000
Dy1 0.2150 0.4300 0.1414
Dy2 0.7850 0.5700 0.8586

=====

# 3
A relaxed structure of Pm3Dy8Tm4. Source: Alexandria via LeMat-Bulk, functional PBE.

## Properties
Calculated total energy in eV/cell: -62.93
Energy of formation in eV per atom: 0.40

Lattice parameters (Å, degrees): 6.7066 9.2352 9.2352 87.10 111.24 111.24
Atoms (fractional coordinates):
Dy1 0.0000 0.3573 0.6427
Dy2 0.9745 0.7457 0.7457
Dy3 0.0255 0.2543 0.2543
Dy4 0.0000 0.6427 0.3573
Dy5 0.5000 0.2506 0.7494
Dy6 0.5646 0.2717 0.2717
Dy7 0.4354 0.7283 0.7283
Dy8 0.5000 0.7494 0.2506
Pm1 0.5000 0.0000 0.5000
Pm2 0.5000 0.5000 0.0000
Pm3 0.5000 0.5000 0.5000
Tm1 0.0000 0.0000 0.5000
Tm2 0.0000 0.0000 0.0000
Tm3 0.5000 0.0000 0.0000
Tm4 0.0000 0.5000 0.0000

=====

# 4
A relaxed structure of Pm2Dy5Tm12. Source: Alexandria via LeMat-Bulk, functional PBE.

## Properties
Energy relative to the lowest polymorph listed for this composition in eV/atom: 0.000
Calculated total energy in eV/cell: -85.72
Energy of formation in eV per atom: 0.02

Lattice parameters (Å, degrees): 6.0929 10.5496 12.6694 133.79 94.74 84.41
Atoms (fractional coordinates):
Dy1 0.0000 0.0000 0.5000
Dy2 0.2624 0.4733 0.5527
Dy3 0.1583 0.6838 0.1319
Dy4 0.7376 0.5267 0.4473
Dy5 0.8417 0.3162 0.8681
Tm1 0.4742 0.0517 0.3953
Tm2 0.0529 0.8953 0.7099
Tm3 0.1046 0.7882 0.9210
Tm4 0.6320 0.7351 0.0262
Tm5 0.6841 0.6322 0.2367
Tm6 0.3680 0.2649 0.9738
Tm7 0.9471 0.1047 0.2901
Tm8 0.7897 0.4197 0.6579
Tm9 0.2103 0.5803 0.3421
Tm10 0.8954 0.2118 0.0790
Tm11 0.3159 0.3678 0.7633
Tm12 0.5258 0.9483 0.6047
Pm1 0.4205 0.1581 0.1845
Pm2 0.5795 0.8419 0.8155

=====

# 5
A relaxed structure of Pm4Dy3Tm2. Source: Alexandria via LeMat-Bulk, functional PBE.

## Properties
Energy relative to the lowest polymorph listed for this composition in eV/atom: 0.064
Calculated total energy in eV/cell: -40.99
Energy of formation in eV per atom: 0.09

Lattice parameters (Å, degrees): 3.6356 6.6390 14.4376 64.14 90.00 105.89
Atoms (fractional coordinates):
Pm1 0.8913 0.7825 0.3921
Pm2 0.3499 0.6997 0.8717
Pm3 0.6501 0.3003 0.1283
Pm4 0.1087 0.2175 0.6079
Dy1 0.3798 0.7597 0.6124
Dy2 0.6202 0.2403 0.3876
Dy3 0.0000 0.0000 0.0000
Tm1 0.6601 0.3201 0.7904
Tm2 0.3399 0.6799 0.2096

=====

# 6
A relaxed structure of PmDy3Tm8. Source: Alexandria via LeMat-Bulk, functional PBE.

## Properties
Calculated total energy in eV/cell: -50.46
Energy of formation in eV per atom: 0.32

Lattice parameters (Å, degrees): 8.5342 8.5342 8.5342 97.52 98.36 136.37
Atoms (fractional coordinates):
Tm1 0.0057 0.7519 0.2540
Tm2 0.8306 0.2505 0.0811
Tm3 0.5021 0.2481 0.2538
Tm4 0.4979 0.7518 0.7460
Tm5 0.9943 0.2482 0.7461
Tm6 0.1694 0.7495 0.9189
Tm7 0.1694 0.2505 0.4199
Tm8 0.8306 0.7495 0.5801
Dy1 0.5000 0.7535 0.2535
Dy2 0.0000 0.5000 0.5000
Dy3 0.5000 0.2465 0.7465
Pm1 0.0000 0.0000 0.0000

=====

> What is the energy of formation in the fourth record?

0.02 eV per atom

=====

> Which of these has the lowest calculated total energy?

Pm4Dy6Tm19

=====

> calculated total energy of number 6 (PmDy3Tm8)?

-50.46 eV/cell

=====

> Number 5 is which compound?

Pm4Dy3Tm2